# 1
Below is a relaxed structure of Cs2Lu4Cu4S9, with properties calculated at the PBE level.

POSCAR file:
```
Cs2Lu4Cu4S9
1.0
6.9634 -1.9628 0.0000
6.9634 1.9628 0.0000
-5.1492 0.0000 15.0291
Cs S Lu Cu
2 9 4 4
Direct
0.5292 0.5292 0.2714 Cs
0.4708 0.4708 0.7286 Cs
0.3556 0.3556 0.0724 S
0.1622 0.1622 0.7238 S
0.8903 0.8903 0.8783 S
0.8378 0.8378 0.2762 S
0.6444 0.6444 0.9276 S
0.2113 0.2113 0.4050 S
0.1097 0.1097 0.1217 S
0.7887 0.7887 0.5950 S
0.5000 0.5000 0.5000 S
0.1533 0.1533 0.5544 Lu
0.2683 0.2683 0.8966 Lu
0.8467 0.8467 0.4456 Lu
0.7317 0.7317 0.1034 Lu
0.7490 0.7490 0.7295 Cu
0.0693 0.0693 0.9607 Cu
0.9307 0.9307 0.0393 Cu
0.2510 0.2510 0.2705 Cu
```

Values from the calculation:
Volume ... 21.62 A^3/atom
Calculated density ... 6.097 g cm⁻³
VASP energy ... -98.199 eV for the cell shown

# 2
Below is a relaxed structure of MgFeBW, with properties calculated at the PBE level.

POSCAR file:
```
MgFeBW
1.0
0.0000 2.9090 2.9090
2.9090 0.0000 2.9090
2.9090 2.9090 0.0000
W Mg B Fe
1 1 1 1
Direct
0.2500 0.2500 0.2500 W
0.5000 0.5000 0.5000 Mg
0.0000 0.0000 0.0000 B
0.7500 0.7500 0.7500 Fe
```

Values from the calculation:
Volume ... 12.31 A^3/atom
Calculated density ... 9.268 g cm⁻³
Relative energy among the computed polymorphs ... 11.7 kJ per mole of atoms
VASP energy ... -25.896 eV for the cell shown

# 3
Below is a relaxed structure of SiAgAu, with properties calculated at the PBE level.

POSCAR file:
```
SiAgAu
1.0
-2.0015 -6.0418 1.4648
3.6329 -1.3549 -0.6247
1.8406 1.3012 7.8822
Si Au Ag
4 4 4
Direct
0.8261 0.2500 0.4465 Si
0.1739 0.7500 0.5535 Si
0.6739 0.7500 0.9465 Si
0.3261 0.2500 0.0535 Si
0.8050 0.7500 0.6487 Au
0.3050 0.7500 0.8513 Au
0.6950 0.2500 0.1487 Au
0.1950 0.2500 0.3513 Au
0.5241 0.7500 0.3608 Ag
0.4759 0.2500 0.6392 Ag
0.9759 0.2500 0.8608 Ag
0.0241 0.7500 0.1392 Ag
```

Values from the calculation:
Volume ... 17.52 A^3/atom
Calculated density ... 10.516 g cm⁻³
Relative energy among the computed polymorphs ... 0.0 kJ per mole of atoms
VASP energy ... -45.224 eV for the cell shown

# 4
Below is a relaxed structure of YFeSiIr, with properties calculated at the PBE level.

POSCAR file:
```
YFeSiIr
1.0
-3.7234 -2.0735 1.2593
-3.9110 2.0917 -0.2785
-2.9811 -1.2588 -3.0459
Y Fe Ir Si
1 1 1 1
Direct
0.5000 0.5000 0.5000 Y
0.7500 0.7500 0.7500 Fe
0.2500 0.2500 0.2500 Ir
0.0000 0.0000 0.0000 Si
```

Values from the calculation:
Volume ... 15.51 A^3/atom
Calculated density ... 9.768 g cm⁻³
Relative energy among the computed polymorphs ... 0.0 kJ per mole of atoms
VASP energy ... -30.202 eV for the cell shown

# 5
Below is a relaxed structure of HfMgZnCo, with properties calculated at the PBE level.

POSCAR file:
```
HfMgZnCo
1.0
0.0000 3.1504 3.1504
3.1504 0.0000 3.1504
3.1504 3.1504 0.0000
Hf Mg Zn Co
1 1 1 1
Direct
0.2500 0.2500 0.2500 Hf
0.5000 0.5000 0.5000 Mg
0.0000 0.0000 0.0000 Zn
0.7500 0.7500 0.7500 Co
```

Values from the calculation:
Volume ... 15.63 A^3/atom
Calculated density ... 8.687 g cm⁻³
Relative energy among the computed polymorphs ... 11.8 kJ per mole of atoms
VASP energy ... -19.319 eV for the cell shown

# 6
Below is a relaxed structure of ZrFeIrPb, with properties calculated at the PBE level.

POSCAR file:
```
ZrFeIrPb
1.0
0.0000 3.2890 3.2890
3.2890 0.0000 3.2890
3.2890 3.2890 0.0000
Ir Fe Pb Zr
1 1 1 1
Direct
0.5000 0.5000 0.5000 Ir
0.7500 0.7500 0.7500 Fe
0.0000 0.0000 0.0000 Pb
0.2500 0.2500 0.2500 Zr
```

Values from the calculation:
Volume ... 17.79 A^3/atom
Calculated density ... 12.753 g cm⁻³
Relative energy among the computed polymorphs ... 23.4 kJ per mole of atoms
VASP energy ... -28.779 eV for the cell shown

# 7
Below is a relaxed structure of DyTmMo2C3, with properties calculated at the PBE level.

POSCAR file:
```
DyTmMo2C3
1.0
5.6478 -1.6866 0.0000
5.6478 1.6866 0.0000
-1.7666 0.0000 5.3880
Mo C Tm Dy
2 3 1 1
Direct
0.1493 0.1493 0.8720 Mo
0.8504 0.8504 0.1278 Mo
0.9991 0.9991 0.9962 C
0.7308 0.7308 0.7572 C
0.2715 0.2715 0.2450 C
0.3852 0.3852 0.6810 Tm
0.6138 0.6138 0.3208 Dy
```

Values from the calculation:
Volume ... 14.66 A^3/atom
Calculated density ... 9.049 g cm⁻³
VASP energy ... -60.809 eV for the cell shown

# 8
Below is a relaxed structure of GdPdPbSe3, with properties calculated at the PBE level.

POSCAR file:
```
GdPdPbSe3
1.0
-1.2084 2.2348 6.9546
-1.1621 0.9051 -7.2561
-8.5141 -6.3732 0.5685
Se Pb Gd Pd
6 2 2 2
Direct
0.5832 0.4168 0.2500 Se
0.8563 0.1437 0.0557 Se
0.1437 0.8563 0.5557 Se
0.4168 0.5832 0.7500 Se
0.1437 0.8563 0.9443 Se
0.8563 0.1437 0.4443 Se
0.7204 0.2796 0.7500 Pb
0.2796 0.7204 0.2500 Pb
0.5000 0.5000 0.5000 Gd
0.5000 0.5000 0.0000 Gd
0.0300 0.9700 0.7500 Pd
0.9700 0.0300 0.2500 Pd
```

Values from the calculation:
Volume ... 24.99 A^3/atom
Calculated density ... 7.837 g cm⁻³
VASP energy ... -59.712 eV for the cell shown

# 9
Below is a relaxed structure of YLu6Ni2Se2, with properties calculated at the PBE level.

POSCAR file:
```
YLu6Ni2Se2
1.0
-1.8791 7.4041 4.5747
1.8791 -7.4041 4.5747
1.8791 7.4041 -4.5747
Se Y Ni Lu
2 1 2 6
Direct
0.1402 0.1402 0.0000 Se
0.7426 0.2426 0.5000 Se
0.4829 0.4829 0.0000 Y
0.6443 0.4048 0.2395 Ni
0.1653 0.4048 0.7605 Ni
0.7860 0.1003 0.6856 Lu
0.0205 0.8941 0.1264 Lu
0.3822 0.7410 0.6412 Lu
0.7676 0.8941 0.8736 Lu
0.0999 0.7410 0.3588 Lu
0.4147 0.1003 0.3144 Lu
```

Values from the calculation:
Volume ... 23.14 A^3/atom
Calculated density ... 9.223 g cm⁻³
VASP energy ... -60.865 eV for the cell shown

# 10
Below is a relaxed structure of Sn2BiAu, with properties calculated at the PBE level.

POSCAR file:
```
Sn2BiAu
1.0
0.0000 3.7234 3.7234
3.7234 0.0000 3.7234
3.7234 3.7234 0.0000
Sn Bi Au
2 1 1
Direct
0.7500 0.7500 0.7500 Sn
0.0000 0.0000 0.0000 Sn
0.5000 0.5000 0.5000 Bi
0.2500 0.2500 0.2500 Au
```

Values from the calculation:
Volume ... 25.81 A^3/atom
Calculated density ... 10.348 g cm⁻³
VASP energy ... -14.912 eV for the cell shown

# 11
Below is a relaxed structure of Sr2CdPb, with properties calculated at the PBE level.

POSCAR file:
```
Sr2CdPb
1.0
7.9493 0.0000 0.0000
0.0000 5.7844 0.0000
0.0000 0.0000 11.5679
Sr Pb Cd
8 4 4
Direct
0.0000 0.2500 0.8738 Sr
0.5001 0.7500 0.6262 Sr
0.4999 0.2500 0.3738 Sr
0.0000 0.7500 0.1262 Sr
0.9999 0.2500 0.3737 Sr
0.0001 0.7500 0.6263 Sr
0.4999 0.7500 0.1263 Sr
0.5001 0.2500 0.8737 Sr
0.2500 0.2500 0.6234 Pb
0.2500 0.2500 0.1234 Pb
0.7500 0.7500 0.8766 Pb
0.7500 0.7500 0.3766 Pb
0.2502 0.7500 0.8769 Cd
0.7502 0.2500 0.6231 Cd
0.7498 0.2500 0.1231 Cd
0.2498 0.7500 0.3769 Cd
```

Values from the calculation:
Volume ... 33.24 A^3/atom
Calculated density ... 6.179 g cm⁻³
Relative energy among the computed polymorphs ... 0.3 kJ per mole of atoms
VASP energy ... -39.906 eV for the cell shown

# 12
Below is a relaxed structure of AgIrSeO, with properties calculated at the PBE level.

POSCAR file:
```
AgIrSeO
1.0
3.6868 0.0000 0.0000
0.0000 3.6868 0.0000
0.0000 0.0000 9.1083
Se O Ir Ag
2 2 2 2
Direct
0.2500 0.2500 0.7420 Se
0.7500 0.7500 0.2580 Se
0.2500 0.7500 0.0000 O
0.7500 0.2500 0.0000 O
0.7500 0.7500 0.8687 Ir
0.2500 0.2500 0.1313 Ir
0.2500 0.7500 0.5000 Ag
0.7500 0.2500 0.5000 Ag
```

Values from the calculation:
Volume ... 15.48 A^3/atom
Calculated density ... 10.597 g cm⁻³
Relative energy among the computed polymorphs ... 49.1 kJ per mole of atoms
VASP energy ... -37.408 eV for the cell shown

# 13
Below is a relaxed structure of PrDy2Zn3Ir2Pt, with properties calculated at the PBE level.

POSCAR file:
```
PrDy2Zn3Ir2Pt
1.0
-0.1644 -3.2634 2.2053
1.8395 3.8617 5.8517
-6.9750 -0.8508 -1.7789
Pt Pr Ir Zn Dy
1 1 2 3 2
Direct
0.0000 0.0070 0.0070 Pt
0.0000 0.5873 0.5873 Pr
0.5000 0.3254 0.6700 Ir
0.5000 0.6700 0.3254 Ir
0.5000 0.0039 0.7510 Zn
0.5000 0.2480 0.2480 Zn
0.5000 0.7510 0.0039 Zn
0.0000 0.4078 0.9996 Dy
0.0000 0.9996 0.4078 Dy
```

Values from the calculation:
ΔH_f (0 K) ... -0.751 eV/atom
Volume ... 19.86 A^3/atom
Calculated density ... 11.533 g cm⁻³
VASP energy ... -48.293 eV for the cell shown

# 14
Below is a relaxed structure of Hf2SiW, with properties calculated at the PBE level.

POSCAR file:
```
Hf2SiW
1.0
-3.8405 -1.7088 1.9151
-3.4337 2.8394 1.2184
-3.9596 -0.0103 -2.3788
W Si Hf
1 1 2
Direct
0.2500 0.2500 0.2500 W
0.5000 0.5000 0.5000 Si
0.7500 0.7500 0.7500 Hf
0.0000 0.0000 0.0000 Hf
```

Values from the calculation:
Volume ... 17.42 A^3/atom
Calculated density ... 13.555 g cm⁻³
VASP energy ... -38.096 eV for the cell shown

# 15
Below is a relaxed structure of NdScPO, with properties calculated at the PBE level.

POSCAR file:
```
NdScPO
1.0
3.1372 -3.1372 0.0000
3.1372 3.1372 0.0000
0.0000 0.0000 9.0792
Sc Nd P O
2 2 2 2
Direct
0.7500 0.7500 0.0290 Sc
0.2500 0.2500 0.9710 Sc
0.7500 0.2500 0.5000 Nd
0.2500 0.7500 0.5000 Nd
0.7500 0.7500 0.3071 P
0.2500 0.2500 0.6929 P
0.7500 0.2500 0.0000 O
0.2500 0.7500 0.0000 O
```

Values from the calculation:
Volume ... 22.34 A^3/atom
Calculated density ... 4.389 g cm⁻³
Relative energy among the computed polymorphs ... 46.7 kJ per mole of atoms
VASP energy ... -55.807 eV for the cell shown

# 16
Below is a relaxed structure of HgN, with properties calculated at the PBE level.

POSCAR file:
```
HgN
1.0
6.2677 0.0000 0.0000
0.0000 3.4256 0.0000
0.0000 0.0000 5.9451
Hg N
4 4
Direct
0.0000 0.5000 0.5000 Hg
0.5000 0.5000 0.5000 Hg
0.7500 0.0000 0.0057 Hg
0.2500 0.0000 0.9943 Hg
0.2500 0.5000 0.7487 N
0.2500 0.0000 0.3460 N
0.7500 0.5000 0.2513 N
0.7500 0.0000 0.6540 N
```

Values from the calculation:
Volume ... 15.96 A^3/atom
Calculated density ... 11.167 g cm⁻³
Relative energy among the computed polymorphs ... 0.0 kJ per mole of atoms
VASP energy ... -22.182 eV for the cell shown

# 17
Below is a relaxed structure of Y3Tm3BiSbOs, with properties calculated at the PBE level.

POSCAR file:
```
Y3Tm3BiSbOs
1.0
-4.3474 6.8353 -1.1031
-3.1208 -6.1702 4.3620
1.6811 1.6370 3.5182
Os Tm Y Sb Bi
1 3 3 1 1
Direct
0.6667 0.3333 0.0000 Os
0.4347 0.0997 0.5000 Tm
0.6650 0.5653 0.5000 Tm
0.9003 0.3350 0.5000 Tm
0.2777 0.3398 0.0000 Y
0.0621 0.7223 0.0000 Y
0.6602 0.9379 0.0000 Y
0.3333 0.6667 0.5000 Sb
0.0000 0.0000 0.5000 Bi
```

Values from the calculation:
Volume ... 27.20 A^3/atom
Calculated density ... 8.782 g cm⁻³
VASP energy ... -58.093 eV for the cell shown

# 18
Below is a relaxed structure of Zr4ZnSiC2, with properties calculated at the PBE level.

POSCAR file:
```
Zr4ZnSiC2
1.0
-1.2414 2.5282 -1.7714
-1.7625 -2.7983 0.3663
-5.8788 5.2163 11.5645
Zn C Zr Si
1 2 4 1
Direct
0.0000 0.0000 0.5000 Zn
0.3333 0.6667 0.2454 C
0.3333 0.6667 0.7546 C
0.0000 0.0000 0.8477 Zr
0.6667 0.3333 0.6642 Zr
0.6667 0.3333 0.3358 Zr
0.0000 0.0000 0.1523 Zr
0.6667 0.3333 0.0000 Si
```

Values from the calculation:
Volume ... 16.76 A^3/atom
Calculated density ... 5.976 g cm⁻³
VASP energy ... -64.327 eV for the cell shown

# 19
Below is a relaxed structure of CdAgB4, with properties calculated at the PBE level.

POSCAR file:
```
CdAgB4
1.0
-1.0630 3.5678 3.4192
-3.8403 2.6203 -1.9840
1.4227 -4.4972 1.8170
B Cd Ag
4 1 1
Direct
0.4165 0.7505 0.6660 B
0.5835 0.2495 0.3340 B
0.9155 0.2495 0.6660 B
0.0845 0.7505 0.3340 B
0.5000 0.5000 0.0000 Cd
0.0000 0.0000 0.0000 Ag
```

Values from the calculation:
Volume ... 10.93 A^3/atom
Calculated density ... 6.675 g cm⁻³
Relative energy among the computed polymorphs ... 0.0 kJ per mole of atoms
VASP energy ... -27.359 eV for the cell shown

# 20
Below is a relaxed structure of TlTe5W3, with properties calculated at the PBE level.

POSCAR file:
```
TlTe5W3
1.0
-5.0505 1.5957 -2.4616
-0.0064 -3.5218 4.6594
-0.3460 6.6013 4.9891
W Te Tl
3 5 1
Direct
0.5000 0.5000 0.5000 W
0.5000 0.0000 0.5000 W
0.0000 0.5000 0.5000 W
0.6667 0.3333 0.7703 Te
0.0000 0.0000 0.5000 Te
0.3333 0.6667 0.2297 Te
0.6667 0.3333 0.2297 Te
0.3333 0.6667 0.7703 Te
0.0000 0.0000 0.0000 Tl
```

Values from the calculation:
Volume ... 27.19 A^3/atom
Calculated density ... 9.460 g cm⁻³
VASP energy ... -54.184 eV for the cell shown

# 21
Below is a relaxed structure of PuBrCl2, with properties calculated at the PBE level.

POSCAR file:
```
PuBrCl2
1.0
-5.0179 -3.4060 -4.2011
0.2676 -3.4675 2.4916
-2.5606 4.0572 5.9213
Cl Pu Br
4 2 2
Direct
0.3979 0.2500 0.3134 Cl
0.6021 0.7500 0.6866 Cl
0.9054 0.2500 0.5981 Cl
0.0946 0.7500 0.4019 Cl
0.6703 0.7500 0.3382 Pu
0.3297 0.2500 0.6618 Pu
0.7154 0.2500 0.0782 Br
0.2846 0.7500 0.9218 Br
```

Values from the calculation:
Volume ... 26.70 A^3/atom
Calculated density ... 6.138 g cm⁻³
VASP energy ... -53.428 eV for the cell shown

# 22
Below is a relaxed structure of ReTeNO, with properties calculated at the PBE level.

POSCAR file:
```
ReTeNO
1.0
-0.5567 3.8625 1.2232
-1.6730 0.9054 -3.6203
-8.7042 -2.3427 3.4364
Te O Re N
2 2 2 2
Direct
0.2500 0.7500 0.5000 Te
0.7500 0.2500 0.5000 Te
0.7500 0.2500 0.0000 O
0.2500 0.7500 0.0000 O
0.7500 0.7500 0.0668 Re
0.2500 0.2500 0.9332 Re
0.7500 0.7500 0.2404 N
0.2500 0.2500 0.7596 N
```

Values from the calculation:
Volume ... 20.17 A^3/atom
Calculated density ... 7.077 g cm⁻³
Relative energy among the computed polymorphs ... 33.7 kJ per mole of atoms
VASP energy ... -56.302 eV for the cell shown

# 23
Below is a relaxed structure of NaHfHg3S4, with properties calculated at the PBE level.

POSCAR file:
```
NaHfHg3S4
1.0
6.7233 0.0000 0.0000
0.0000 6.7233 0.0000
0.0000 0.0000 6.7233
Hg S Na Hf
3 4 1 1
Direct
0.0000 0.0000 0.5000 Hg
0.0000 0.5000 0.0000 Hg
0.5000 0.0000 0.0000 Hg
0.2092 0.7908 0.2092 S
0.7908 0.7908 0.7908 S
0.2092 0.2092 0.7908 S
0.7908 0.2092 0.2092 S
0.5000 0.5000 0.5000 Na
0.0000 0.0000 0.0000 Hf
```

Values from the calculation:
Volume ... 33.77 A^3/atom
Calculated density ... 5.090 g cm⁻³
Relative energy among the computed polymorphs ... 20.9 kJ per mole of atoms
VASP energy ... -32.633 eV for the cell shown

# 24
Below is a relaxed structure of ZrS2, with properties calculated at the PBE level.

POSCAR file:
```
ZrS2
1.0
-4.9010 2.0958 4.3543
-2.5252 0.1394 -2.9093
-2.0755 -7.8180 1.4268
Zr S
4 8
Direct
0.2416 0.7500 0.8769 Zr
0.7584 0.2500 0.1231 Zr
0.7416 0.7500 0.6231 Zr
0.2584 0.2500 0.3769 Zr
0.5263 0.2500 0.8442 S
0.3605 0.7500 0.5752 S
0.8605 0.7500 0.9248 S
0.9737 0.7500 0.3442 S
0.0263 0.2500 0.6558 S
0.4737 0.7500 0.1558 S
0.6395 0.2500 0.4248 S
0.1395 0.2500 0.0752 S
```

Values from the calculation:
Volume ... 18.16 A^3/atom
Calculated density ... 4.735 g cm⁻³
VASP energy ... -83.759 eV for the cell shown